# 1
! VRh PBE relaxed; values from VASP
! * ΔH_f (0 K): 462.4 meV/atom
&SYSTEM
  ibrav = 0, nat = 4, ntyp = 2
/
ATOMIC_SPECIES
V 50.94 V.upf
Rh 102.91 Rh.upf
CELL_PARAMETERS angstrom
-2.0610 -2.1722 -2.9074
3.8929 1.3090 -0.7421
1.7458 -4.1399 1.8555
ATOMIC_POSITIONS angstrom
V 2.3447 -0.8863 -1.0000
V 1.2329 -4.1167 -0.7940
Rh 3.2176 -2.9563 -0.0722
Rh 0.3601 -2.0468 -1.7217

# 2
! PmYTe PBE relaxed; values from VASP
! * energy above the lowest structure with this stoichiometry: 19.8 meV per atom
! * E_form (uncorrected): -0.78 eV per atom
&SYSTEM
  ibrav = 0, nat = 12, ntyp = 3
/
ATOMIC_SPECIES
Pm 145.00 Pm.upf
Y 88.91 Y.upf
Te 127.60 Te.upf
CELL_PARAMETERS angstrom
-0.9313 2.6775 2.9046
-10.9137 -1.9114 -1.7373
1.0776 -7.3892 4.3213
ATOMIC_POSITIONS angstrom
Pm -6.9551 -5.6474 5.8115
Pm -9.4852 -1.6447 1.3106
Pm -1.2822 -4.9783 4.1780
Pm -3.8122 -0.9756 -0.3230
Y -3.8620 -2.3316 3.7467
Y -0.6464 -2.4677 2.0675
Y -6.9054 -4.2914 1.7419
Y -10.1209 -4.1553 3.4210
Te -6.2461 -1.1232 1.8684
Te -8.6534 -6.7579 3.4551
Te -4.5213 -5.4998 3.6202
Te -2.1140 0.1349 2.0335

# 3
! Os2RuW2 PBE relaxed; values from VASP
! * energy above the lowest structure with this stoichiometry: 341.1 meV per atom
! * ΔH_f (0 K): 653.9 meV/atom
&SYSTEM
  ibrav = 0, nat = 5, ntyp = 3
/
ATOMIC_SPECIES
Os 190.23 Os.upf
Ru 101.07 Ru.upf
W 183.84 W.upf
CELL_PARAMETERS angstrom
2.6934 0.0000 -0.7405
0.0000 4.5398 0.0000
0.4071 0.0000 6.7491
ATOMIC_POSITIONS angstrom
Os 1.1731 0.0000 4.2668
Os 1.9274 0.0000 1.7418
Ru 0.0000 0.0000 0.0000
W 0.5461 2.2699 1.9862
W 2.5545 2.2699 4.0224

# 4
! Pr6Ir2S3Br PBE relaxed; values from VASP
! * E_form (uncorrected): -1.39 eV per atom
&SYSTEM
  ibrav = 0, nat = 12, ntyp = 4
/
ATOMIC_SPECIES
Pr 140.91 Pr.upf
Ir 192.22 Ir.upf
S 32.06 S.upf
Br 79.90 Br.upf
CELL_PARAMETERS angstrom
4.0893 0.0000 0.0000
0.0000 8.6806 0.2315
-2.0447 -2.5842 8.8540
ATOMIC_POSITIONS angstrom
Pr 0.0000 6.0719 5.9069
Pr 2.0447 4.1686 3.1364
Pr 2.0447 0.0245 3.1786
Pr 0.0000 2.3931 0.2044
Pr 2.0447 3.7034 8.8811
Pr 0.0000 1.9279 5.9491
Ir 2.0447 4.0507 6.0349
Ir 0.0000 2.0457 3.0506
S 2.0447 4.3403 0.1158
S 2.0447 -0.3887 6.0947
S 0.0000 6.4851 2.9908
Br 2.0447 0.0000 0.0000

# 5
! CuSiNi2 PBE relaxed; values from VASP
! * E_form (uncorrected): -0.34 eV per atom
&SYSTEM
  ibrav = 0, nat = 4, ntyp = 3
/
ATOMIC_SPECIES
Ni 58.69 Ni.upf
Si 28.09 Si.upf
Cu 63.55 Cu.upf
CELL_PARAMETERS angstrom
4.1895 -0.0153 -0.0125
0.9784 4.0737 0.0125
-2.5745 -2.0413 2.5995
ATOMIC_POSITIONS angstrom
Ni 5.1669 4.0576 0.0000
Ni 2.5850 2.0300 0.0000
Si 2.0995 -0.0137 1.2935
Cu 0.4940 2.0308 1.3060

# 6
! PdPtPb PBE relaxed; values from VASP
! * energy above the lowest structure with this stoichiometry: 52.9 meV per atom
! * ΔH_f (0 K): -73.7 meV/atom
&SYSTEM
  ibrav = 0, nat = 3, ntyp = 3
/
ATOMIC_SPECIES
Pb 207.20 Pb.upf
Pd 106.42 Pd.upf
Pt 195.08 Pt.upf
CELL_PARAMETERS angstrom
-2.8290 3.4520 0.5942
-3.1722 -0.2121 3.1882
0.3306 2.5739 3.6795
ATOMIC_POSITIONS angstrom
Pb 0.0000 0.0000 0.0000
Pd -2.8353 2.9069 3.7310
Pt -1.4177 1.4535 1.8655

# 7
! LaHgTe4 PBE relaxed; values from VASP
! * E_form (uncorrected): -0.25 eV per atom
&SYSTEM
  ibrav = 0, nat = 6, ntyp = 3
/
ATOMIC_SPECIES
La 138.91 La.upf
Hg 200.59 Hg.upf
Te 127.60 Te.upf
CELL_PARAMETERS angstrom
0.0000 4.5589 4.5589
4.5589 0.0000 4.5589
4.5589 4.5589 0.0000
ATOMIC_POSITIONS angstrom
La 0.0000 0.0000 0.0000
Hg 6.8383 6.8383 6.8383
Te 3.4166 5.7011 5.7011
Te 5.7011 5.7011 3.4166
Te 5.7011 3.4166 5.7011
Te 3.4166 3.4166 3.4166

# 8
! Th2Al5Rh3 PBE relaxed; values from VASP
! * ΔH_f (0 K): -808.3 meV/atom
&SYSTEM
  ibrav = 0, nat = 20, ntyp = 3
/
ATOMIC_SPECIES
Th 232.04 Th.upf
Al 26.98 Al.upf
Rh 102.91 Rh.upf
CELL_PARAMETERS angstrom
-2.7459 -3.1374 1.0098
1.4993 -3.2094 -5.8944
10.7396 -4.7542 5.3203
ATOMIC_POSITIONS angstrom
Th 10.0950 -8.5121 1.0038
Th 4.3671 -4.5227 -2.1768
Th 5.0261 -6.3644 3.0053
Th -0.5342 -2.7339 -0.8344
Al 8.0744 -6.3397 2.2591
Al 6.1811 -5.2925 0.3644
Al 2.5914 -4.2661 2.9040
Al 2.8121 -2.4374 0.0741
Al 6.8556 -6.5975 -1.8562
Al 7.0942 -7.5250 5.0232
Al 3.0765 -5.4433 0.5658
Al 6.6669 -8.6337 0.4167
Al 1.9775 -2.6742 -2.9311
Al 1.8824 -5.7540 -3.6465
Rh 4.7337 -7.2305 -0.4805
Rh 1.4132 -4.5853 -1.2913
Rh 2.4122 -3.8089 -5.2747
Rh 4.6113 -3.5537 1.4980
Rh 7.8076 -8.8479 2.8530
Rh 7.3810 -5.0196 4.4747

# 9
! ThHI PBE relaxed; values from VASP
! * energy: -4.426 eV per atom
&SYSTEM
  ibrav = 0, nat = 3, ntyp = 3
/
ATOMIC_SPECIES
I 126.90 I.upf
H 1.01 H.upf
Th 232.04 Th.upf
CELL_PARAMETERS angstrom
-2.9285 0.7108 -1.9512
1.1968 -2.1790 -2.5900
-1.7011 -3.4455 4.6007
ATOMIC_POSITIONS angstrom
I -0.0554 -0.0902 0.0503
H -1.3978 -2.2760 1.2689
Th -1.9796 -2.5475 -1.2596

# 10
! DyYGa3 PBE relaxed; values from VASP
! * ΔH_f (0 K): -649.7 meV/atom
&SYSTEM
  ibrav = 0, nat = 10, ntyp = 3
/
ATOMIC_SPECIES
Dy 162.50 Dy.upf
Y 88.91 Y.upf
Ga 69.72 Ga.upf
CELL_PARAMETERS angstrom
-1.0521 -0.2373 -4.0432
0.3998 -4.1459 0.1392
-11.8135 -0.9615 5.2958
ATOMIC_POSITIONS angstrom
Dy -4.7342 -3.5500 1.4402
Dy -7.7316 -1.7945 -0.0484
Y -10.7764 -4.1515 0.8822
Y -1.6893 -1.1931 0.5096
Ga -3.1710 -3.4858 -1.1358
Ga -9.2948 -1.8588 2.5276
Ga -0.8193 -3.2800 -1.7598
Ga -11.6465 -2.0646 3.1516
Ga -4.7615 -1.5346 -0.8364
Ga -7.7042 -3.8100 2.2282

# 11
! Si4Se5 PBE relaxed; values from VASP
! * energy above the lowest structure with this stoichiometry: 0.0 meV per atom
! * E_form (uncorrected): 0.18 eV per atom
&SYSTEM
  ibrav = 0, nat = 18, ntyp = 2
/
ATOMIC_SPECIES
Si 28.09 Si.upf
Se 78.96 Se.upf
CELL_PARAMETERS angstrom
7.7952 0.0000 0.0000
-3.8976 6.7509 0.0000
0.0000 0.0000 6.7712
ATOMIC_POSITIONS angstrom
Si 0.0000 0.0000 0.0000
Si 0.0000 0.0000 3.3856
Si -1.6736 2.8988 1.6928
Si 2.2240 3.8520 1.6928
Si 3.3473 0.0000 1.6928
Si -2.2240 3.8520 5.0784
Si 1.6736 2.8988 5.0784
Si 4.4479 0.0000 5.0784
Se -2.9596 5.1261 1.6928
Se 0.9381 1.6248 1.6928
Se 5.9191 0.0000 1.6928
Se -0.9381 1.6248 5.0784
Se 2.9596 5.1261 5.0784
Se 1.8761 0.0000 5.0784
Se 3.8976 2.2503 0.0000
Se 0.0000 4.5006 3.3856
Se 0.0000 4.5006 0.0000
Se 3.8976 2.2503 3.3856

# 12
! Sc2ZnPb PBE relaxed; values from VASP
! * ΔH_f (0 K): -229.2 meV/atom
&SYSTEM
  ibrav = 0, nat = 4, ntyp = 3
/
ATOMIC_SPECIES
Pb 207.20 Pb.upf
Sc 44.96 Sc.upf
Zn 65.41 Zn.upf
CELL_PARAMETERS angstrom
4.8634 0.0053 0.0076
3.6628 3.1996 0.0076
1.1581 0.4353 5.9684
ATOMIC_POSITIONS angstrom
Pb 2.4211 0.9100 1.4959
Sc 1.1722 0.4406 5.8114
Sc 4.8281 1.8148 3.1488
Zn 7.2632 2.7301 4.4877

Values of size of the total moment, in order: 0.00; 0.11; 0.00; 0.00; 0.00; 0.00; 0.00; 0.00; 0.00; 0.21; 0.00; 0.00, all in μB per cell.
Values of calculated density, in order: 6.97; 6.30; 16.81; 7.37; 7.82; 13.09; 7.45; 8.04; 8.54; 6.85; 4.73; 6.49, all in g cm⁻³.